1.
Below is BHPt2 after structural relaxation, with properties calculated at the PBEsol level.

Properties
E (eV/atom): -6.00
Volume (Å³ per cell): 91
Spin magnetization (μB per formula unit): 0.0

Cell lengths 4.689, 5.295, 4.689 Å; angles 63.72, 90.00, 116.28 degrees
Positions (direct):
H: 0.250 0.500 0.250
H: 0.500 0.000 0.500
B: 0.750 0.500 0.750
B: 0.000 0.000 0.000
Pt: 0.156 0.750 0.875
Pt: 0.594 0.750 0.375
Pt: 0.375 0.250 0.156
Pt: 0.875 0.250 0.594

2.
Below is Tl2TeI6 after structural relaxation, with properties calculated at the PBEsol level.

Properties
Volume (Å³ per cell): 696
Formation energy from raw total energies (eV/atom): -0.3447
Spin magnetization (μB per formula unit): 0.0

Cell lengths 7.611, 8.294, 11.025 Å; angles 90.00, 90.71, 90.00 degrees
Positions (direct):
I: 0.908 0.995 0.740
I: 0.592 0.495 0.760
I: 0.092 0.005 0.260
I: 0.408 0.505 0.240
I: 0.819 0.691 0.455
I: 0.681 0.191 0.045
I: 0.181 0.309 0.545
I: 0.319 0.809 0.955
I: 0.811 0.695 0.040
I: 0.689 0.195 0.460
I: 0.189 0.305 0.960
I: 0.311 0.805 0.540
Tl: 0.034 0.600 0.747
Tl: 0.466 0.100 0.753
Tl: 0.966 0.400 0.253
Tl: 0.534 0.900 0.247
Te: 0.000 0.000 0.000
Te: 0.500 0.500 0.500

3.
Below is BaZnI2O after structural relaxation, with properties calculated at the PBEsol level.

Properties
Volume (Å³ per cell): 132
Formation energy from raw total energies (eV/atom): -1.1329
Spin magnetization (μB per formula unit): 0.0

Cell lengths 3.830, 5.881, 5.881 Å; angles 90.00, 90.00, 90.00 degrees
Positions (direct):
I: 0.000 0.000 0.500
I: 0.000 0.500 0.000
Zn: 0.000 0.000 0.000
Ba: 0.500 0.500 0.500
O: 0.500 0.000 0.000

4.
Below is Cd2HgAu after structural relaxation, with properties calculated at the PBEsol level.

Properties
E_form (eV/atom): -0.0570
Volume (Å³ per cell): 79
Spin magnetization (μB per formula unit): 0.0

Cell lengths 3.483, 4.847, 5.120 Å; angles 102.06, 109.88, 90.00 degrees
Positions (direct):
Au: 0.747 0.232 0.493
Hg: 0.497 0.504 0.994
Cd: 0.006 0.020 0.011
Cd: 0.251 0.744 0.502

5.
Below is BaSrI4 after structural relaxation, with properties calculated at the PBEsol level.

Properties
Volume (Å³ per cell): 1160
Formation energy from raw total energies (eV/atom): -1.6686
Spin magnetization (μB per formula unit): 0.0

Cell lengths 10.235, 10.607, 10.682 Å; angles 90.00, 90.00, 90.00 degrees
Positions (direct):
Ba: 0.250 0.802 0.750
Ba: 0.750 0.698 0.750
Ba: 0.250 0.302 0.250
Ba: 0.750 0.198 0.250
Sr: 0.000 0.750 0.266
Sr: 0.500 0.750 0.234
Sr: 0.000 0.250 0.734
Sr: 0.500 0.250 0.766
I: 0.960 0.950 0.730
I: 0.540 0.950 0.770
I: 0.764 0.787 0.060
I: 0.736 0.787 0.440
I: 0.236 0.713 0.060
I: 0.264 0.713 0.440
I: 0.460 0.550 0.770
I: 0.040 0.550 0.730
I: 0.960 0.450 0.270
I: 0.540 0.450 0.230
I: 0.736 0.287 0.560
I: 0.764 0.287 0.940
I: 0.264 0.213 0.560
I: 0.236 0.213 0.940
I: 0.460 0.050 0.230
I: 0.040 0.050 0.270

6.
Below is NaZrPRu2 after structural relaxation, with properties calculated at the PBEsol level.

Properties
E_form (eV/atom): 0.2782
Volume (Å³ per cell): 86
Spin magnetization (μB per formula unit): 0.0

Cell lengths 4.336, 4.336, 4.596 Å; angles 90.00, 90.00, 90.00 degrees
Positions (direct):
Ru: 0.000 0.500 0.000
Ru: 0.500 0.000 0.000
Na: 0.000 0.000 0.500
Zr: 0.500 0.500 0.500
P: 0.000 0.000 0.000